Record 1
SiTe2N2 after structural relaxation. Source: the Alexandria database, functional PBE.

Lattice parameters (Å, degrees): 7.992 7.992 3.097 90.00 90.00 90.00
Atoms (fractional coordinates):
Si: 0.000 0.000 0.000
Si: 0.500 0.500 0.000
Te: 0.233 0.267 0.000
Te: 0.267 0.767 0.000
Te: 0.733 0.233 0.000
Te: 0.767 0.733 0.000
N: 0.151 0.651 0.500
N: 0.349 0.151 0.500
N: 0.651 0.849 0.500
N: 0.849 0.349 0.500

Results
Total energy, eV per cell: -45.9
E_form (uncorrected), meV per atom: 1080
D(E_F), states/eV/atom: 0.733

Record 2
SiTeN3 after structural relaxation. Source: the Alexandria database, functional PBE.

Lattice parameters (Å, degrees): 3.953 3.953 3.953 90.00 90.00 90.00
Atoms (fractional coordinates):
Si: 0.000 0.000 0.000
Te: 0.500 0.500 0.500
N: 0.000 0.500 0.500
N: 0.500 0.000 0.500
N: 0.500 0.500 0.000

Results
Total energy, eV per cell: -24.9
E_form (uncorrected), meV per atom: 1738
D(E_F), states/eV/atom: 0.354

Record 3
Si3TeN after structural relaxation. Source: the Alexandria database, functional PBE.

Lattice parameters (Å, degrees): 5.203 5.203 5.203 90.00 90.00 90.00
Atoms (fractional coordinates):
Si: 0.000 0.000 0.500
Si: 0.000 0.500 0.000
Si: 0.500 0.000 0.000
Te: 0.000 0.000 0.000
N: 0.500 0.500 0.500

Results
Total energy, eV per cell: -15.1
E_form (uncorrected), meV per atom: 2534
D(E_F), states/eV/atom: 0.794

Record 4
Si2TeN after structural relaxation. Source: the Alexandria database, functional PBE.

Lattice parameters (Å, degrees): 6.364 6.364 6.364 90.00 90.00 90.00
Atoms (fractional coordinates):
Si: 0.250 0.250 0.250
Si: 0.250 0.250 0.750
Si: 0.250 0.750 0.250
Si: 0.250 0.750 0.750
Si: 0.750 0.250 0.250
Si: 0.750 0.250 0.750
Si: 0.750 0.750 0.250
Si: 0.750 0.750 0.750
Te: 0.000 0.000 0.000
Te: 0.000 0.500 0.500
Te: 0.500 0.000 0.500
Te: 0.500 0.500 0.000
N: 0.000 0.000 0.500
N: 0.000 0.500 0.000
N: 0.500 0.000 0.000
N: 0.500 0.500 0.500

Results
Total energy, eV per cell: -66.7
E_form (uncorrected), meV per atom: 1410
D(E_F), states/eV/atom: 0.584

Record 5
SiTe2N2 after structural relaxation. Source: the Alexandria database, functional PBE.

Lattice parameters (Å, degrees): 4.637 4.637 3.940 90.00 90.00 90.00
Atoms (fractional coordinates):
Si: 0.000 0.000 0.000
Te: 0.000 0.500 0.500
Te: 0.500 0.000 0.500
N: 0.500 0.500 0.000
N: 0.500 0.500 0.500

Results
Total energy, eV per cell: -20.4
E_form (uncorrected), meV per atom: 1593
D(E_F), states/eV/atom: 0.497

Record 6
SiTeN2 after structural relaxation. Source: the Alexandria database, functional PBE.

Lattice parameters (Å, degrees): 5.794 5.794 5.794 90.00 90.00 90.00
Atoms (fractional coordinates):
Si: 0.000 0.000 0.000
Si: 0.000 0.500 0.500
Si: 0.500 0.000 0.500
Si: 0.500 0.500 0.000
Te: 0.000 0.000 0.500
Te: 0.000 0.500 0.000
Te: 0.500 0.000 0.000
Te: 0.500 0.500 0.500
N: 0.250 0.250 0.250
N: 0.250 0.250 0.750
N: 0.250 0.750 0.250
N: 0.250 0.750 0.750
N: 0.750 0.250 0.250
N: 0.750 0.250 0.750
N: 0.750 0.750 0.250
N: 0.750 0.750 0.750

Results
Total energy, eV per cell: -74.7
E_form (uncorrected), meV per atom: 1633
D(E_F), states/eV/atom: 0.481

Record 7
TiSiTe2N after structural relaxation. Source: the Alexandria database, functional PBE.

Lattice parameters (Å, degrees): 5.522 5.522 3.320 90.00 90.00 90.00
Atoms (fractional coordinates):
Ti: 0.000 0.000 0.000
Si: 0.500 0.500 0.500
Te: 0.000 0.500 0.500
Te: 0.500 0.000 0.500
N: 0.500 0.500 0.000

Results
Total energy, eV per cell: -26.9
E_form (uncorrected), meV per atom: 209
D(E_F), states/eV/atom: 0.915

Record 8
TiSiTe2N after structural relaxation. Source: the Alexandria database, functional PBE.

Lattice parameters (Å, degrees): 5.517 5.517 3.723 90.00 90.00 90.00
Atoms (fractional coordinates):
Ti: 0.000 0.000 0.000
Si: 0.500 0.500 0.500
Te: 0.000 0.500 0.000
Te: 0.500 0.000 0.000
N: 0.000 0.000 0.500

Results
Total energy, eV per cell: -26.8
E_form (uncorrected), meV per atom: 227
D(E_F), states/eV/atom: 0.978

Record 9
TlSiTe2N after structural relaxation. Source: the Alexandria database, functional PBE.

Lattice parameters (Å, degrees): 5.866 5.866 4.226 90.00 90.00 90.00
Atoms (fractional coordinates):
Tl: 0.000 0.000 0.000
Si: 0.500 0.500 0.500
Te: 0.000 0.500 0.000
Te: 0.500 0.000 0.000
N: 0.000 0.000 0.500

Results
Total energy, eV per cell: -15.4
E_form (uncorrected), meV per atom: 1402
D(E_F), states/eV/atom: 0.570

Record 10
TlSiTe2N after structural relaxation. Source: the Alexandria database, functional PBE.

Lattice parameters (Å, degrees): 6.030 6.030 3.282 90.00 90.00 90.00
Atoms (fractional coordinates):
Tl: 0.000 0.000 0.000
Si: 0.500 0.500 0.500
Te: 0.000 0.500 0.500
Te: 0.500 0.000 0.500
N: 0.500 0.500 0.000

Results
Total energy, eV per cell: -21.9
E_form (uncorrected), meV per atom: 99
D(E_F), states/eV/atom: 0.506

Record 11
TlSiTeN2 after structural relaxation. Source: the Alexandria database, functional PBE.

Lattice parameters (Å, degrees): 3.878 3.878 5.650 90.00 90.00 90.00
Atoms (fractional coordinates):
Tl: 0.000 0.000 0.000
Si: 0.500 0.500 0.500
Te: 0.500 0.500 0.000
N: 0.000 0.500 0.500
N: 0.500 0.000 0.500

Results
Total energy, eV per cell: -22.8
E_form (uncorrected), meV per atom: 955
D(E_F), states/eV/atom: 0.620

Record 12
TlSiTeN2 after structural relaxation. Source: the Alexandria database, functional PBE.

Lattice parameters (Å, degrees): 4.291 4.291 6.017 90.00 90.00 90.00
Atoms (fractional coordinates):
Tl: 0.000 0.000 0.000
Si: 0.000 0.000 0.500
Te: 0.500 0.500 0.500
N: 0.000 0.500 0.000
N: 0.500 0.000 0.000

Results
Total energy, eV per cell: -17.9
E_form (uncorrected), meV per atom: 1943
D(E_F), states/eV/atom: 0.517